TeIrSe2 at its PBEsol-relaxed geometry. Source: the Alexandria database, functional meta-GGA SCAN.

```
data_TeIrSe2
_chemical_formula_sum 'Te1 Ir1 Se2'
_symmetry_space_group_name_H-M 'P 1'
_symmetry_Int_Tables_number 1
_cell_length_a 8.134
_cell_length_b 8.134
_cell_length_c 8.134
_cell_angle_alpha 25.36
_cell_angle_beta 25.36
_cell_angle_gamma 25.36
loop_
_symmetry_equiv_pos_as_xyz
'x,y,z'
loop_
_atom_site_label
_atom_site_type_symbol
_atom_site_fract_x
_atom_site_fract_y
_atom_site_fract_z
Te1 Te 0.000 0.000 0.000
Ir1 Ir 0.500 0.500 0.500
Se1 Se 0.225 0.225 0.225
Se2 Se 0.775 0.775 0.775
```

## Properties
Raw total energy ... -37.156 eV/atom
Crystal system ... trigonal
Total magnetization ... 0.00 μB per formula unit
E_form (uncorrected) ... -0.030 eV per atom

=====

TeIrSe3 at its PBEsol-relaxed geometry. Source: the Alexandria database, functional meta-GGA SCAN.

```
data_TeIrSe3
_chemical_formula_sum 'Te1 Ir1 Se3'
_symmetry_space_group_name_H-M 'P 1'
_symmetry_Int_Tables_number 1
_cell_length_a 4.842
_cell_length_b 4.842
_cell_length_c 4.842
_cell_angle_alpha 90.00
_cell_angle_beta 90.00
_cell_angle_gamma 90.00
loop_
_symmetry_equiv_pos_as_xyz
'x,y,z'
loop_
_atom_site_label
_atom_site_type_symbol
_atom_site_fract_x
_atom_site_fract_y
_atom_site_fract_z
Te1 Te 0.000 0.000 0.000
Ir1 Ir 0.500 0.500 0.500
Se1 Se 0.000 0.500 0.500
Se2 Se 0.500 0.000 0.500
Se3 Se 0.500 0.500 0.000
```

## Properties
Raw total energy ... -33.221 eV/atom
Crystal system ... cubic
Total magnetization ... 0.00 μB per formula unit
E_form (uncorrected) ... 0.496 eV per atom

=====

TeIrW2Se at its PBEsol-relaxed geometry. Source: the Alexandria database, functional meta-GGA SCAN.

```
data_TeIrW2Se
_chemical_formula_sum 'Te1 Ir1 W2 Se1'
_symmetry_space_group_name_H-M 'P 1'
_symmetry_Int_Tables_number 1
_cell_length_a 4.906
_cell_length_b 4.906
_cell_length_c 4.715
_cell_angle_alpha 90.00
_cell_angle_beta 90.00
_cell_angle_gamma 90.00
loop_
_symmetry_equiv_pos_as_xyz
'x,y,z'
loop_
_atom_site_label
_atom_site_type_symbol
_atom_site_fract_x
_atom_site_fract_y
_atom_site_fract_z
Te1 Te 0.000 0.000 0.000
Ir1 Ir 0.000 0.000 0.500
W1 W 0.000 0.500 0.000
W2 W 0.500 0.000 0.000
Se1 Se 0.500 0.500 0.500
```

## Properties
Raw total energy ... -50.963 eV/atom
Crystal system ... tetragonal
Total magnetization ... 1.53 μB per formula unit
E_form (uncorrected) ... 2.598 eV per atom

=====

TiIrSe2 at its PBEsol-relaxed geometry. Source: the Alexandria database, functional meta-GGA SCAN.

```
data_TiIrSe2
_chemical_formula_sum 'Ti1 Ir1 Se2'
_symmetry_space_group_name_H-M 'P 1'
_symmetry_Int_Tables_number 1
_cell_length_a 4.441
_cell_length_b 4.441
_cell_length_c 4.441
_cell_angle_alpha 60.00
_cell_angle_beta 60.00
_cell_angle_gamma 60.00
loop_
_symmetry_equiv_pos_as_xyz
'x,y,z'
loop_
_atom_site_label
_atom_site_type_symbol
_atom_site_fract_x
_atom_site_fract_y
_atom_site_fract_z
Ti1 Ti 0.000 0.000 0.000
Ir1 Ir 0.500 0.500 0.500
Se1 Se 0.250 0.250 0.250
Se2 Se 0.750 0.750 0.750
```

## Properties
Raw total energy ... -31.937 eV/atom
Crystal system ... cubic
Total magnetization ... 0.00 μB per formula unit
E_form (uncorrected) ... -0.116 eV per atom

=====

TiIrSe2 at its PBEsol-relaxed geometry. Source: the Alexandria database, functional meta-GGA SCAN.

```
data_TiIrSe2
_chemical_formula_sum 'Ti2 Ir2 Se4'
_symmetry_space_group_name_H-M 'P 1'
_symmetry_Int_Tables_number 1
_cell_length_a 8.212
_cell_length_b 8.212
_cell_length_c 8.212
_cell_angle_alpha 148.96
_cell_angle_beta 148.96
_cell_angle_gamma 44.47
loop_
_symmetry_equiv_pos_as_xyz
'x,y,z'
loop_
_atom_site_label
_atom_site_type_symbol
_atom_site_fract_x
_atom_site_fract_y
_atom_site_fract_z
Ti1 Ti 0.000 0.000 0.000
Ti2 Ti 0.750 0.250 0.500
Ir1 Ir 0.250 0.750 0.500
Ir2 Ir 0.500 0.500 0.000
Se1 Se 0.129 0.625 0.004
Se2 Se 0.375 0.379 0.504
Se3 Se 0.621 0.125 0.996
Se4 Se 0.875 0.871 0.496
```

## Properties
Raw total energy ... -32.164 eV/atom
Crystal system ... tetragonal
Total magnetization ... 0.00 μB per formula unit
E_form (uncorrected) ... -0.342 eV per atom

=====

TlIr2Se at its PBEsol-relaxed geometry. Source: the Alexandria database, functional meta-GGA SCAN.

```
data_TlIr2Se
_chemical_formula_sum 'Tl1 Ir2 Se1'
_symmetry_space_group_name_H-M 'P 1'
_symmetry_Int_Tables_number 1
_cell_length_a 2.942
_cell_length_b 2.942
_cell_length_c 8.458
_cell_angle_alpha 90.00
_cell_angle_beta 90.00
_cell_angle_gamma 90.00
loop_
_symmetry_equiv_pos_as_xyz
'x,y,z'
loop_
_atom_site_label
_atom_site_type_symbol
_atom_site_fract_x
_atom_site_fract_y
_atom_site_fract_z
Tl1 Tl 0.000 0.000 0.000
Ir1 Ir 0.000 0.000 0.464
Ir2 Ir 0.500 0.500 0.255
Se1 Se 0.500 0.500 0.643
```

## Properties
Raw total energy ... -58.221 eV/atom
Crystal system ... tetragonal
Total magnetization ... 0.00 μB per formula unit
E_form (uncorrected) ... 0.437 eV per atom

=====

TlIr2Se at its PBEsol-relaxed geometry. Source: the Alexandria database, functional meta-GGA SCAN.

```
data_TlIr2Se
_chemical_formula_sum 'Tl1 Ir2 Se1'
_symmetry_space_group_name_H-M 'P 1'
_symmetry_Int_Tables_number 1
_cell_length_a 8.510
_cell_length_b 8.510
_cell_length_c 8.510
_cell_angle_alpha 20.63
_cell_angle_beta 20.63
_cell_angle_gamma 20.63
loop_
_symmetry_equiv_pos_as_xyz
'x,y,z'
loop_
_atom_site_label
_atom_site_type_symbol
_atom_site_fract_x
_atom_site_fract_y
_atom_site_fract_z
Tl1 Tl 0.000 0.000 0.000
Ir1 Ir 0.243 0.243 0.243
Ir2 Ir 0.757 0.757 0.757
Se1 Se 0.500 0.500 0.500
```

## Properties
Raw total energy ... -58.051 eV/atom
Crystal system ... trigonal
Total magnetization ... 0.00 μB per formula unit
E_form (uncorrected) ... 0.608 eV per atom

=====

TlIr2Se at its PBEsol-relaxed geometry. Source: the Alexandria database, functional meta-GGA SCAN.

```
data_TlIr2Se
_chemical_formula_sum 'Tl1 Ir2 Se1'
_symmetry_space_group_name_H-M 'P 1'
_symmetry_Int_Tables_number 1
_cell_length_a 3.022
_cell_length_b 3.022
_cell_length_c 7.273
_cell_angle_alpha 90.00
_cell_angle_beta 90.00
_cell_angle_gamma 90.00
loop_
_symmetry_equiv_pos_as_xyz
'x,y,z'
loop_
_atom_site_label
_atom_site_type_symbol
_atom_site_fract_x
_atom_site_fract_y
_atom_site_fract_z
Tl1 Tl 0.000 0.000 0.000
Ir1 Ir 0.500 0.500 0.278
Ir2 Ir 0.500 0.500 0.722
Se1 Se 0.000 0.000 0.500
```

## Properties
Raw total energy ... -57.994 eV/atom
Crystal system ... tetragonal
Total magnetization ... 0.00 μB per formula unit
E_form (uncorrected) ... 0.665 eV per atom

=====

IrW3Se at its PBEsol-relaxed geometry. Source: the Alexandria database, functional meta-GGA SCAN.

```
data_IrW3Se
_chemical_formula_sum 'Ir1 W3 Se1'
_symmetry_space_group_name_H-M 'P 1'
_symmetry_Int_Tables_number 1
_cell_length_a 4.476
_cell_length_b 4.476
_cell_length_c 4.476
_cell_angle_alpha 90.00
_cell_angle_beta 90.00
_cell_angle_gamma 90.00
loop_
_symmetry_equiv_pos_as_xyz
'x,y,z'
loop_
_atom_site_label
_atom_site_type_symbol
_atom_site_fract_x
_atom_site_fract_y
_atom_site_fract_z
Ir1 Ir 0.000 0.000 0.000
W1 W 0.000 0.500 0.500
W2 W 0.500 0.000 0.500
W3 W 0.500 0.500 0.000
Se1 Se 0.500 0.500 0.500
```

## Properties
Raw total energy ... -58.092 eV/atom
Crystal system ... cubic
Total magnetization ... 0.00 μB per formula unit
E_form (uncorrected) ... 1.957 eV per atom

=====

IrW2Se at its PBEsol-relaxed geometry. Source: the Alexandria database, functional meta-GGA SCAN.

```
data_IrW2Se
_chemical_formula_sum 'Ir1 W2 Se1'
_symmetry_space_group_name_H-M 'P 1'
_symmetry_Int_Tables_number 1
_cell_length_a 4.935
_cell_length_b 4.935
_cell_length_c 4.935
_cell_angle_alpha 133.84
_cell_angle_beta 133.84
_cell_angle_gamma 67.34
loop_
_symmetry_equiv_pos_as_xyz
'x,y,z'
loop_
_atom_site_label
_atom_site_type_symbol
_atom_site_fract_x
_atom_site_fract_y
_atom_site_fract_z
Ir1 Ir 0.000 0.000 0.000
W1 W 0.250 0.750 0.500
W2 W 0.500 0.500 0.000
Se1 Se 0.750 0.250 0.500
```

## Properties
Raw total energy ... -56.911 eV/atom
Crystal system ... tetragonal
Total magnetization ... 0.00 μB per formula unit
E_form (uncorrected) ... 0.727 eV per atom

=====

IrW2Se at its PBEsol-relaxed geometry. Source: the Alexandria database, functional meta-GGA SCAN.

```
data_IrW2Se
_chemical_formula_sum 'Ir1 W2 Se1'
_symmetry_space_group_name_H-M 'P 1'
_symmetry_Int_Tables_number 1
_cell_length_a 4.884
_cell_length_b 4.884
_cell_length_c 4.723
_cell_angle_alpha 105.90
_cell_angle_beta 105.90
_cell_angle_gamma 34.57
loop_
_symmetry_equiv_pos_as_xyz
'x,y,z'
loop_
_atom_site_label
_atom_site_type_symbol
_atom_site_fract_x
_atom_site_fract_y
_atom_site_fract_z
Ir1 Ir 0.000 0.000 0.000
W1 W 0.494 0.494 0.508
W2 W 0.741 0.741 0.121
Se1 Se 0.242 0.242 0.656
```

## Properties
Raw total energy ... -57.305 eV/atom
Crystal system ... monoclinic
Total magnetization ... 0.00 μB per formula unit
E_form (uncorrected) ... 0.334 eV per atom

=====

IrWSe2 at its PBEsol-relaxed geometry. Source: the Alexandria database, functional meta-GGA SCAN.

```
data_IrWSe2
_chemical_formula_sum 'Ir1 W1 Se2'
_symmetry_space_group_name_H-M 'P 1'
_symmetry_Int_Tables_number 1
_cell_length_a 4.363
_cell_length_b 4.363
_cell_length_c 3.209
_cell_angle_alpha 90.00
_cell_angle_beta 90.00
_cell_angle_gamma 90.00
loop_
_symmetry_equiv_pos_as_xyz
'x,y,z'
loop_
_atom_site_label
_atom_site_type_symbol
_atom_site_fract_x
_atom_site_fract_y
_atom_site_fract_z
Ir1 Ir 0.000 0.000 0.000
W1 W 0.500 0.500 0.000
Se1 Se 0.000 0.500 0.500
Se2 Se 0.500 0.000 0.500
```

## Properties
Raw total energy ... -44.560 eV/atom
Crystal system ... tetragonal
Total magnetization ... 0.00 μB per formula unit
E_form (uncorrected) ... 0.676 eV per atom